{"formula": "BiN2O2", "functional": "PBE", "state": "relaxed", "lattice": [[4.169, 0.000, 0.000], [0.000, 4.169, 0.000], [0.000, 0.000, 4.698]], "species": ["Bi", "N", "N", "O", "O"], "frac_coords": [[0.000, 0.000, 0.000], [0.000, 0.000, 0.500], [0.500, 0.500, 0.500], [0.000, 0.500, 0.000], [0.500, 0.000, 0.000]], "formation_energy_uncorrected_ev_per_atom": 1.752, "de_polymorph_ev_per_atom": 2.211}